The following is a DFT calculation (PBE-GGA) of LiSmPt4 after structural relaxation.

```
data_LiSmPt4
_chemical_formula_sum 'Li4 Sm4 Pt16'
_symmetry_space_group_name_H-M 'F -4 3 m'
_symmetry_Int_Tables_number 216
_symmetry_space_group_name_Hall 'F -4 2 3'
_cell_length_a 7.606
_cell_length_b 7.606
_cell_length_c 7.606
_cell_angle_alpha 90.00
_cell_angle_beta 90.00
_cell_angle_gamma 90.00
loop_
_atom_site_label
_atom_site_type_symbol
_atom_site_fract_x
_atom_site_fract_y
_atom_site_fract_z
_atom_site_occupancy
Li1 Li 0.000 0.000 0.000 1
Sm1 Sm 0.250 0.250 0.250 1
Pt1 Pt 0.125 0.125 0.625 1
```

- calculated volume (Å³/cell) = 440.0
- formation energy (eV per atom) = -0.87
- Fermi-level density of states (states/eV/atom) = 0.93
- calculated density (g cm⁻³) = 14.155
- crystal system = cubic